(1)
Density functional theory data (PBE) for LiGaPb after structural relaxation.

a b c (Å): 9.548 4.476 3.256
angles (deg): 90.00 90.00 90.00
Fractional positions:
Pb1 0.178 0.500 0.000
Pb2 0.822 0.500 0.000
Li1 0.500 0.500 0.500
Li2 0.000 0.000 0.500
Ga1 0.367 0.000 0.000
Ga2 0.633 0.000 0.000

Results
- space group = No. 47
- total magnetic moment (μB/f.u.) = 0.00
- DOS(E_F) (states/eV/f.u.) = 1.08
- total DFT energy (no corrections) (eV/atom) = -2.98

(2)
Density functional theory data (PBE) for LiGaPb after structural relaxation.

a b c (Å): 4.853 5.088 5.915
angles (deg): 89.98 113.72 89.99
Fractional positions:
Pb1 0.522 0.402 0.881
Pb2 0.003 0.902 0.841
Ga1 0.201 0.398 0.243
Ga2 0.324 0.898 0.480
Li1 0.691 0.904 0.214
Li2 0.834 0.405 0.508

Results
- space group = No. 4
- total magnetic moment (μB/f.u.) = 0.00
- DOS(E_F) (states/eV/f.u.) = 1.19
- total DFT energy (no corrections) (eV/atom) = -3.00

Look up the DOS(E_F) of the first one.
1.08 states/eV/f.u.